{
  "formula": "TeP2Br",
  "functional": "PBE",
  "state": "relaxed",
  "cell": [[-6.084, 1.988, 3.404], [-5.228, -1.609, 4.757], [-3.377, 1.540, 6.228]],
  "species": ["Br", "Te", "P", "P"],
  "fractional_positions": [[0.750, 0.750, 0.750], [0.250, 0.250, 0.250], [0.507, 0.507, 0.507], [0.993, 0.993, 0.993]],
  "energy_ev_per_atom": -3.404,
  "raw_formation_energy_ev_per_atom": 0.50,
  "n_ef_per_ev_fu": 3.38
}